{
  "formula": "PSBr3",
  "functional": "PBEsol",
  "state": "relaxed",
  "lattice_angstrom": [[5.0048, 0.0000, 0.0000], [0.0000, 5.0048, 0.0000], [0.0000, 0.0000, 5.0048]],
  "species": ["P", "S", "Br", "Br", "Br"],
  "frac_coords": [[0.0000, 0.0000, 0.0000], [0.5000, 0.5000, 0.5000], [0.0000, 0.0000, 0.5000], [0.0000, 0.5000, 0.0000], [0.5000, 0.0000, 0.0000]],
  "magmom_total_mub_per_atom": 0.422,
  "density_kg_m3": 4010,
  "n_ef_per_ev_cell": 3.03,
  "e_form_raw_ev_per_atom": 0.47
}